1.
Computed, not measured: a geometry-optimized K5Rb3Na4 structure at the PBE level of DFT.

**Formation enthalpy at 0 K**: 0.06 eV per atom

Geometry as CIF:
```
data_K5Rb3Na4
_symmetry_space_group_name_H-M 'C 1 2/m 1'
_symmetry_Int_Tables_number 12
_cell_length_a 19.004
_cell_length_b 7.623
_cell_length_c 11.825
_cell_angle_alpha 90.00
_cell_angle_beta 114.80
_cell_angle_gamma 90.00
loop_
_symmetry_equiv_pos_as_xyz
'x,y,z'
'-x,-y,-z'
'-x,y,-z'
'x,-y,z'
'x+1/2,y+1/2,z'
'-x+1/2,-y+1/2,-z'
'-x+1/2,y+1/2,-z'
'x+1/2,-y+1/2,z'
loop_
_atom_site_label
_atom_site_type_symbol
_atom_site_fract_x
_atom_site_fract_y
_atom_site_fract_z
K1 K 0.000 0.000 0.000
K2 K 0.074 0.500 0.420
K3 K 0.168 0.000 0.384
Rb1 Rb 0.000 0.500 0.000
Rb2 Rb 0.207 0.500 0.870
Na1 Na 0.066 0.000 0.677
Na2 Na 0.229 0.500 0.253
```

2.
Computed, not measured: a geometry-optimized ReP3 structure at the PBE level of DFT.

**Energy above the lowest structure with this stoichiometry**: 634 meV/atom
**Formation enthalpy at 0 K**: 0.30 eV per atom

Geometry as CIF:
```
data_ReP3
_symmetry_space_group_name_H-M 'C 1 2/m 1'
_symmetry_Int_Tables_number 12
_cell_length_a 8.126
_cell_length_b 3.151
_cell_length_c 4.611
_cell_angle_alpha 90.00
_cell_angle_beta 93.74
_cell_angle_gamma 90.00
loop_
_symmetry_equiv_pos_as_xyz
'x,y,z'
'-x,-y,-z'
'-x,y,-z'
'x,-y,z'
'x+1/2,y+1/2,z'
'-x+1/2,-y+1/2,-z'
'-x+1/2,y+1/2,-z'
'x+1/2,-y+1/2,z'
loop_
_atom_site_label
_atom_site_type_symbol
_atom_site_fract_x
_atom_site_fract_y
_atom_site_fract_z
Re1 Re 0.000 0.000 0.000
P1 P 0.000 0.500 0.500
P2 P 0.218 0.500 0.210
```

3.
Computed, not measured: a geometry-optimized ErHg2Pd structure at the PBE level of DFT.

**Formation enthalpy at 0 K**: -0.40 eV per atom

Geometry as CIF:
```
data_ErHg2Pd
_symmetry_space_group_name_H-M 'P 4/m m m'
_symmetry_Int_Tables_number 123
_symmetry_space_group_name_Hall '-P 4 2'
_cell_length_a 4.296
_cell_length_b 4.296
_cell_length_c 4.694
_cell_angle_alpha 90.00
_cell_angle_beta 90.00
_cell_angle_gamma 90.00
loop_
_atom_site_label
_atom_site_type_symbol
_atom_site_fract_x
_atom_site_fract_y
_atom_site_fract_z
Er1 Er 0.000 0.000 0.000
Hg1 Hg 0.000 0.500 0.500
Pd1 Pd 0.500 0.500 0.000
```

4.
Computed, not measured: a geometry-optimized PmSi2As structure at the PBE level of DFT.

**E_form (uncorrected)**: -0.255 eV/atom

Geometry as CIF:
```
data_PmSi2As
_symmetry_space_group_name_H-M 'P 4/m m m'
_symmetry_Int_Tables_number 123
_symmetry_space_group_name_Hall '-P 4 2'
_cell_length_a 4.210
_cell_length_b 4.210
_cell_length_c 4.489
_cell_angle_alpha 90.00
_cell_angle_beta 90.00
_cell_angle_gamma 90.00
loop_
_atom_site_label
_atom_site_type_symbol
_atom_site_fract_x
_atom_site_fract_y
_atom_site_fract_z
Pm1 Pm 0.000 0.000 0.000
Si1 Si 0.000 0.500 0.500
As1 As 0.500 0.500 0.000
```

5.
Computed, not measured: a geometry-optimized Nd2Tm5In structure at the PBE level of DFT.

**Energy above the lowest structure with this stoichiometry**: 0 meV/atom
**Formation enthalpy at 0 K**: -0.10 eV per atom

Geometry as CIF:
```
data_Nd2Tm5In
_symmetry_space_group_name_H-M 'I 4/m m m'
_symmetry_Int_Tables_number 139
_symmetry_space_group_name_Hall '-I 4 2'
_cell_length_a 4.881
_cell_length_b 4.881
_cell_length_c 20.191
_cell_angle_alpha 90.00
_cell_angle_beta 90.00
_cell_angle_gamma 90.00
loop_
_atom_site_label
_atom_site_type_symbol
_atom_site_fract_x
_atom_site_fract_y
_atom_site_fract_z
Nd1 Nd 0.000 0.000 0.243
Tm1 Tm 0.000 0.000 0.000
Tm2 Tm 0.000 0.500 0.118
In1 In 0.000 0.000 0.500
```

6.
Computed, not measured: a geometry-optimized GaRhS2 structure at the PBE level of DFT.

**E_form (uncorrected)**: -0.312 eV/atom

Geometry as CIF:
```
data_GaRhS2
_symmetry_space_group_name_H-M 'I -4 2 d'
_symmetry_Int_Tables_number 122
_symmetry_space_group_name_Hall 'I -4 2bw'
_cell_length_a 5.442
_cell_length_b 5.442
_cell_length_c 10.623
_cell_angle_alpha 90.00
_cell_angle_beta 90.00
_cell_angle_gamma 90.00
loop_
_atom_site_label
_atom_site_type_symbol
_atom_site_fract_x
_atom_site_fract_y
_atom_site_fract_z
Ga1 Ga 0.000 0.000 0.000
Rh1 Rh 0.000 0.000 0.500
S1 S 0.243 0.250 0.625
```

7.
Computed, not measured: a geometry-optimized CaTlOs2 structure at the PBE level of DFT.

**Energy above the lowest structure with this stoichiometry**: 505 meV/atom
**Formation enthalpy at 0 K**: 0.80 eV per atom

Geometry as CIF:
```
data_CaTlOs2
_symmetry_space_group_name_H-M 'C 1 2/m 1'
_symmetry_Int_Tables_number 12
_cell_length_a 9.893
_cell_length_b 3.027
_cell_length_c 5.387
_cell_angle_alpha 90.00
_cell_angle_beta 102.13
_cell_angle_gamma 90.00
loop_
_symmetry_equiv_pos_as_xyz
'x,y,z'
'-x,-y,-z'
'-x,y,-z'
'x,-y,z'
'x+1/2,y+1/2,z'
'-x+1/2,-y+1/2,-z'
'-x+1/2,y+1/2,-z'
'x+1/2,-y+1/2,z'
loop_
_atom_site_label
_atom_site_type_symbol
_atom_site_fract_x
_atom_site_fract_y
_atom_site_fract_z
Ca1 Ca 0.000 0.000 0.000
Tl1 Tl 0.000 0.500 0.500
Os1 Os 0.241 0.000 0.692
```

8.
Computed, not measured: a geometry-optimized InReRu2 structure at the PBE level of DFT.

**Formation enthalpy at 0 K**: 0.30 eV per atom

Geometry as CIF:
```
data_InReRu2
_symmetry_space_group_name_H-M 'P 1 m 1'
_symmetry_Int_Tables_number 6
_cell_length_a 2.820
_cell_length_b 4.036
_cell_length_c 5.562
_cell_angle_alpha 90.00
_cell_angle_beta 90.07
_cell_angle_gamma 90.00
loop_
_symmetry_equiv_pos_as_xyz
'x,y,z'
'x,-y,z'
loop_
_atom_site_label
_atom_site_type_symbol
_atom_site_fract_x
_atom_site_fract_y
_atom_site_fract_z
In1 In 0.000 0.000 0.000
Re1 Re 0.493 0.500 0.303
Ru1 Ru 0.002 0.000 0.495
Ru2 Ru 0.504 0.500 0.757
```

9.
Computed, not measured: a geometry-optimized CsVFe2I8 structure at the PBE level of DFT.

**E_form (uncorrected)**: -0.431 eV/atom

Geometry as CIF:
```
data_CsVFe2I8
_symmetry_space_group_name_H-M 'C 1 2/m 1'
_symmetry_Int_Tables_number 12
_cell_length_a 11.911
_cell_length_b 8.055
_cell_length_c 10.961
_cell_angle_alpha 90.00
_cell_angle_beta 98.24
_cell_angle_gamma 90.00
loop_
_symmetry_equiv_pos_as_xyz
'x,y,z'
'-x,-y,-z'
'-x,y,-z'
'x,-y,z'
'x+1/2,y+1/2,z'
'-x+1/2,-y+1/2,-z'
'-x+1/2,y+1/2,-z'
'x+1/2,-y+1/2,z'
loop_
_atom_site_label
_atom_site_type_symbol
_atom_site_fract_x
_atom_site_fract_y
_atom_site_fract_z
Cs1 Cs 0.000 0.000 0.000
V1 V 0.000 0.000 0.500
Fe1 Fe 0.115 0.500 0.303
I1 I 0.023 0.245 0.689
I2 I 0.180 0.500 0.091
I3 I 0.235 0.000 0.500
```

10.
Computed, not measured: a geometry-optimized Ho4ThCd5 structure at the PBE level of DFT.

**Formation enthalpy at 0 K**: -0.26 eV per atom

Geometry as CIF:
```
data_Ho4ThCd5
_symmetry_space_group_name_H-M 'P 4/m m m'
_symmetry_Int_Tables_number 123
_symmetry_space_group_name_Hall '-P 4 2'
_cell_length_a 3.708
_cell_length_b 3.708
_cell_length_c 19.176
_cell_angle_alpha 90.00
_cell_angle_beta 90.00
_cell_angle_gamma 90.00
loop_
_atom_site_label
_atom_site_type_symbol
_atom_site_fract_x
_atom_site_fract_y
_atom_site_fract_z
Ho1 Ho 0.000 0.000 0.098
Ho2 Ho 0.000 0.000 0.294
Th1 Th 0.000 0.000 0.500
Cd1 Cd 0.500 0.500 0.000
Cd2 Cd 0.500 0.500 0.196
Cd3 Cd 0.500 0.500 0.388
```

11.
Computed, not measured: a geometry-optimized Nd3SmY2 structure at the PBE level of DFT.

**Energy above the lowest structure with this stoichiometry**: 0 meV/atom
**Formation enthalpy at 0 K**: 0.01 eV per atom

Geometry as CIF:
```
data_Nd3SmY2
_symmetry_space_group_name_H-M 'C 1 2/c 1'
_symmetry_Int_Tables_number 15
_cell_length_a 17.836
_cell_length_b 7.278
_cell_length_c 6.289
_cell_angle_alpha 90.00
_cell_angle_beta 90.26
_cell_angle_gamma 90.00
loop_
_symmetry_equiv_pos_as_xyz
'x,y,z'
'-x,-y,-z'
'-x,y,-z+1/2'
'x,-y,z+1/2'
'x+1/2,y+1/2,z'
'-x+1/2,-y+1/2,-z'
'-x+1/2,y+1/2,-z+1/2'
'x+1/2,-y+1/2,z+1/2'
loop_
_atom_site_label
_atom_site_type_symbol
_atom_site_fract_x
_atom_site_fract_y
_atom_site_fract_z
Nd1 Nd 0.000 0.125 0.250
Nd2 Nd 0.167 0.375 0.418
Sm1 Sm 0.000 0.375 0.750
Y1 Y 0.167 0.125 0.917
```

12.
Computed, not measured: a geometry-optimized Na12GaHg3 structure at the PBE level of DFT.

**Formation enthalpy at 0 K**: -0.10 eV per atom

Geometry as CIF:
```
data_Na12GaHg3
_symmetry_space_group_name_H-M 'P 4/m m m'
_symmetry_Int_Tables_number 123
_symmetry_space_group_name_Hall '-P 4 2'
_cell_length_a 4.830
_cell_length_b 4.830
_cell_length_c 19.607
_cell_angle_alpha 90.00
_cell_angle_beta 90.00
_cell_angle_gamma 90.00
loop_
_atom_site_label
_atom_site_type_symbol
_atom_site_fract_x
_atom_site_fract_y
_atom_site_fract_z
Na1 Na 0.000 0.000 0.000
Na2 Na 0.000 0.000 0.250
Na3 Na 0.000 0.000 0.500
Na4 Na 0.000 0.500 0.123
Na5 Na 0.000 0.500 0.375
Ga1 Ga 0.500 0.500 0.000
Hg1 Hg 0.500 0.500 0.247
Hg2 Hg 0.500 0.500 0.500
```

13.
Computed, not measured: a geometry-optimized Ho12Tm6Mg structure at the PBE level of DFT.

**Energy above the lowest structure with this stoichiometry**: 6 meV/atom
**Formation enthalpy at 0 K**: 0.15 eV per atom

Geometry as CIF:
```
data_Ho12Tm6Mg
_symmetry_space_group_name_H-M 'R -3 m'
_symmetry_Int_Tables_number 166
_symmetry_space_group_name_Hall '-R 3 2"'
_cell_length_a 12.7879
_cell_length_b 12.7879
_cell_length_c 12.6762
_cell_angle_alpha 90.00
_cell_angle_beta 90.00
_cell_angle_gamma 120.00
loop_
_atom_site_label
_atom_site_type_symbol
_atom_site_fract_x
_atom_site_fract_y
_atom_site_fract_z
Ho1 Ho 0.0000 0.2616 0.0000
Ho2 Ho 0.0521 0.5260 0.1146
Tm1 Tm 0.0904 0.1807 0.7720
Mg1 Mg 0.0000 0.0000 0.0000
```

14.
Computed, not measured: a geometry-optimized YHo4Sc15 structure at the PBE level of DFT.

**Formation enthalpy at 0 K**: 0.06 eV per atom

Geometry as CIF:
```
data_YHo4Sc15
_symmetry_space_group_name_H-M 'P 4/m m m'
_symmetry_Int_Tables_number 123
_symmetry_space_group_name_Hall '-P 4 2'
_cell_length_a 4.707
_cell_length_b 4.707
_cell_length_c 23.552
_cell_angle_alpha 90.00
_cell_angle_beta 90.00
_cell_angle_gamma 90.00
loop_
_atom_site_label
_atom_site_type_symbol
_atom_site_fract_x
_atom_site_fract_y
_atom_site_fract_z
Y1 Y 0.000 0.000 0.000
Ho1 Ho 0.000 0.000 0.201
Ho2 Ho 0.000 0.000 0.400
Sc1 Sc 0.000 0.500 0.101
Sc2 Sc 0.000 0.500 0.300
Sc3 Sc 0.000 0.500 0.500
Sc4 Sc 0.500 0.500 0.000
Sc5 Sc 0.500 0.500 0.201
Sc6 Sc 0.500 0.500 0.400
```

15.
Computed, not measured: a geometry-optimized Mg2NbHg2 structure at the PBE level of DFT.

**Energy above the lowest structure with this stoichiometry**: 0 meV/atom
**Formation enthalpy at 0 K**: 0.19 eV per atom

Geometry as CIF:
```
data_Mg2NbHg2
_symmetry_space_group_name_H-M 'P 4/m b m'
_symmetry_Int_Tables_number 127
_symmetry_space_group_name_Hall '-P 4 2ab'
_cell_length_a 8.036
_cell_length_b 8.036
_cell_length_c 3.074
_cell_angle_alpha 90.00
_cell_angle_beta 90.00
_cell_angle_gamma 90.00
loop_
_atom_site_label
_atom_site_type_symbol
_atom_site_fract_x
_atom_site_fract_y
_atom_site_fract_z
Mg1 Mg 0.130 0.370 0.000
Nb1 Nb 0.000 0.000 0.000
Hg1 Hg 0.171 0.671 0.500
```